<a>
{"formula": "SrLaB2Pt8", "functional": "PBE", "state": "optimized geometry", "cell": [[5.562, 0.000, 0.000], [-2.781, 4.817, 0.000], [0.000, 0.000, 7.660]], "species": ["Sr", "La", "B", "B", "Pt", "Pt", "Pt", "Pt", "Pt", "Pt", "Pt", "Pt"], "frac_coords": [[0.000, 0.000, 0.000], [0.000, 0.000, 0.500], [0.333, 0.667, 0.500], [0.667, 0.333, 0.500], [0.000, 0.500, 0.302], [0.000, 0.500, 0.698], [0.333, 0.667, 0.000], [0.500, 0.000, 0.302], [0.500, 0.000, 0.698], [0.500, 0.500, 0.302], [0.500, 0.500, 0.698], [0.667, 0.333, 0.000]], "total_magnetization_mub_per_cell": 0.01, "space_group": "P6/mmm"}



<b>
{"formula": "SrLaB2Pt8", "functional": "PBE", "state": "optimized geometry", "cell": [[5.547, 0.000, 0.000], [-2.773, 4.804, 0.000], [0.000, 0.000, 7.641]], "species": ["Sr", "La", "B", "B", "Pt", "Pt", "Pt", "Pt", "Pt", "Pt", "Pt", "Pt"], "frac_coords": [[0.000, 0.000, 0.000], [0.000, 0.000, 0.500], [0.333, 0.667, 0.000], [0.667, 0.333, 0.000], [0.000, 0.500, 0.198], [0.000, 0.500, 0.802], [0.333, 0.667, 0.500], [0.500, 0.000, 0.198], [0.500, 0.000, 0.802], [0.500, 0.500, 0.198], [0.500, 0.500, 0.802], [0.667, 0.333, 0.500]], "total_magnetization_mub_per_cell": 0.00, "space_group": "P6/mmm"}



The least stable of them is <a>.



<a>
{"formula": "LaReB", "functional": "PBE", "state": "optimized geometry", "cell": [[0.000, 3.047, 3.047], [3.047, 0.000, 3.047], [3.047, 3.047, 0.000]], "species": ["La", "Re", "B"], "frac_coords": [[0.000, 0.000, 0.000], [0.750, 0.750, 0.750], [0.500, 0.500, 0.500]], "total_magnetization_mub_per_cell": 0.08, "space_group": "F-43m"}



<b>
{"formula": "LaReB", "functional": "PBE", "state": "optimized geometry", "cell": [[0.000, 3.170, 3.170], [3.170, 0.000, 3.170], [3.170, 3.170, 0.000]], "species": ["La", "Re", "B"], "frac_coords": [[0.000, 0.000, 0.000], [0.250, 0.250, 0.250], [0.750, 0.750, 0.750]], "total_magnetization_mub_per_cell": 0.78, "space_group": "F-43m"}



<c>
{"formula": "LaReB", "functional": "PBE", "state": "optimized geometry", "cell": [[0.000, 3.024, 3.024], [3.024, 0.000, 3.024], [3.024, 3.024, 0.000]], "species": ["La", "Re", "B"], "frac_coords": [[0.000, 0.000, 0.000], [0.500, 0.500, 0.500], [0.250, 0.250, 0.250]], "total_magnetization_mub_per_cell": 0.36, "space_group": "F-43m"}



The least stable of them is <b>.



<a>
{"formula": "LaTbB4", "functional": "PBE", "state": "optimized geometry", "cell": [[3.294, 0.000, 0.000], [-1.647, 2.853, 0.000], [0.000, 0.000, 8.243]], "species": ["La", "Tb", "B", "B", "B", "B"], "frac_coords": [[0.000, 0.000, 0.000], [0.000, 0.000, 0.500], [0.333, 0.667, 0.266], [0.333, 0.667, 0.734], [0.667, 0.333, 0.266], [0.667, 0.333, 0.734]], "total_magnetization_mub_per_cell": 0.01, "space_group": "P6/mmm"}



<b>
{"formula": "LaTbB4", "functional": "PBE", "state": "optimized geometry", "cell": [[-1.654, 2.869, 4.112], [1.654, -2.869, 4.112], [1.654, 2.869, -4.112]], "species": ["La", "Tb", "B", "B", "B", "B"], "frac_coords": [[0.000, 0.000, 0.000], [0.500, 0.500, 0.000], [0.086, 0.752, 0.334], [0.418, 0.752, 0.666], [0.582, 0.248, 0.334], [0.914, 0.248, 0.666]], "total_magnetization_mub_per_cell": 0.01, "space_group": "Immm"}



The least stable of them is <b>.



<a>
{"formula": "LaThB4", "functional": "PBE", "state": "optimized geometry", "cell": [[-1.662, 2.885, 4.239], [1.662, -2.885, 4.239], [1.662, 2.885, -4.239]], "species": ["La", "Th", "B", "B", "B", "B"], "frac_coords": [[0.000, 0.000, 0.000], [0.500, 0.500, 0.000], [0.084, 0.751, 0.333], [0.418, 0.751, 0.667], [0.582, 0.249, 0.333], [0.916, 0.249, 0.667]], "total_magnetization_mub_per_cell": 0.00, "space_group": "Immm"}



<b>
{"formula": "LaThB4", "functional": "PBE", "state": "optimized geometry", "cell": [[3.331, 0.000, 0.000], [-1.666, 2.885, 0.000], [0.000, 0.000, 8.478]], "species": ["La", "Th", "B", "B", "B", "B"], "frac_coords": [[0.000, 0.000, 0.000], [0.000, 0.000, 0.500], [0.333, 0.667, 0.255], [0.333, 0.667, 0.745], [0.667, 0.333, 0.255], [0.667, 0.333, 0.745]], "total_magnetization_mub_per_cell": 0.01, "space_group": "P6/mmm"}



The least stable of them is <a>.